# 1
## InNiIr2 (PBE)

Data for a relaxed InNiIr2 crystal.

Results
The formation energy from the elements is 0.37 eV per atom.

Cell and atoms, written as CIF:
```
data_InNiIr2
_chemical_formula_sum 'In2 Ni2 Ir4'
_cell_length_a 2.888
_cell_length_b 4.842
_cell_length_c 8.857
_cell_angle_alpha 90.00
_cell_angle_beta 90.00
_cell_angle_gamma 90.00
_space_group_name_H-M_alt 'C m m m'
_space_group_IT_number 65
_space_group_name_Hall '-C 2 2'
loop_
_atom_site_label
_atom_site_fract_x
_atom_site_fract_y
_atom_site_fract_z
In1 0.000 0.000 0.000
Ni1 0.000 0.000 0.500
Ir1 0.000 0.500 0.266
```



# 2
## InNi2Ir (PBE)

Data for a relaxed InNi2Ir crystal.

Results
The formation energy from the elements is 0.01 eV per atom.

Cell and atoms, written as CIF:
```
data_InNi2Ir
_chemical_formula_sum 'In1 Ni2 Ir1'
_cell_length_a 3.885
_cell_length_b 3.885
_cell_length_c 3.736
_cell_angle_alpha 90.00
_cell_angle_beta 90.00
_cell_angle_gamma 90.00
_space_group_name_H-M_alt 'P 4/m m m'
_space_group_IT_number 123
_space_group_name_Hall '-P 4 2'
loop_
_atom_site_label
_atom_site_fract_x
_atom_site_fract_y
_atom_site_fract_z
In1 0.000 0.000 0.000
Ni1 0.000 0.500 0.500
Ir1 0.500 0.500 0.000
```



# 3
## InNi5Ir (PBE)

Data for a relaxed InNi5Ir crystal.

Results
The formation energy from the elements is 0.07 eV per atom.

Cell and atoms, written as CIF:
```
data_InNi5Ir
_chemical_formula_sum 'In4 Ni20 Ir4'
_cell_length_a 7.737
_cell_length_b 4.774
_cell_length_c 9.953
_cell_angle_alpha 90.00
_cell_angle_beta 90.00
_cell_angle_gamma 90.00
_space_group_name_H-M_alt 'P n m a'
_space_group_IT_number 62
loop_
_space_group_symop_operation_xyz
'x,y,z'
'-x,-y,-z'
'-x+1/2,-y,z+1/2'
'x+1/2,y,-z+1/2'
'x+1/2,-y+1/2,-z+1/2'
'-x+1/2,y+1/2,z+1/2'
'-x,y+1/2,-z'
'x,-y+1/2,z'
loop_
_atom_site_label
_atom_site_fract_x
_atom_site_fract_y
_atom_site_fract_z
In1 0.243 0.250 0.057
Ni1 0.062 0.750 0.088
Ni2 0.065 0.006 0.309
Ni3 0.104 0.250 0.522
Ni4 0.184 0.250 0.760
Ir1 0.144 0.750 0.848
```



# 4
## InNiIr2 (PBE)

Data for a relaxed InNiIr2 crystal.

Results
The formation energy from the elements is 0.11 eV per atom.

Cell and atoms, written as CIF:
```
data_InNiIr2
_chemical_formula_sum 'In2 Ni2 Ir4'
_cell_length_a 3.977
_cell_length_b 3.977
_cell_length_c 7.665
_cell_angle_alpha 90.00
_cell_angle_beta 90.00
_cell_angle_gamma 90.00
_space_group_name_H-M_alt 'I 4/m m m'
_space_group_IT_number 139
_space_group_name_Hall '-I 4 2'
loop_
_atom_site_label
_atom_site_fract_x
_atom_site_fract_y
_atom_site_fract_z
In1 0.000 0.000 0.000
Ni1 0.000 0.000 0.500
Ir1 0.000 0.500 0.250
```



# 5
## In2NiIr (PBE)

Data for a relaxed In2NiIr crystal.

Results
The formation energy from the elements is 0.28 eV per atom.

Cell and atoms, written as CIF:
```
data_In2NiIr
_chemical_formula_sum 'In6 Ni3 Ir3'
_cell_length_a 3.0820
_cell_length_b 3.0820
_cell_length_c 26.1195
_cell_angle_alpha 90.00
_cell_angle_beta 90.00
_cell_angle_gamma 120.00
_space_group_name_H-M_alt 'R 3 m'
_space_group_IT_number 160
_space_group_name_Hall 'R 3 -2"'
loop_
_atom_site_label
_atom_site_fract_x
_atom_site_fract_y
_atom_site_fract_z
In1 0.0000 0.0000 0.0000
In2 0.0000 0.0000 0.2311
Ni1 0.0000 0.0000 0.7439
Ir1 0.0000 0.0000 0.4812
```



# 6
## InNiIr2 (PBE)

Data for a relaxed InNiIr2 crystal.

Results
The formation energy from the elements is 0.15 eV per atom.

Cell and atoms, written as CIF:
```
data_InNiIr2
_chemical_formula_sum 'In1 Ni1 Ir2'
_cell_length_a 2.852
_cell_length_b 4.595
_cell_length_c 4.642
_cell_angle_alpha 90.00
_cell_angle_beta 90.00
_cell_angle_gamma 90.00
_space_group_name_H-M_alt 'P m m m'
_space_group_IT_number 47
loop_
_space_group_symop_operation_xyz
'x,y,z'
'-x,-y,-z'
'-x,-y,z'
'x,y,-z'
'x,-y,-z'
'-x,y,z'
'-x,y,-z'
'x,-y,z'
loop_
_atom_site_label
_atom_site_fract_x
_atom_site_fract_y
_atom_site_fract_z
In1 0.000 0.000 0.000
Ni1 0.500 0.000 0.500
Ir1 0.000 0.500 0.500
Ir2 0.500 0.500 0.000
```



# 7
## InNiIr2 (PBE)

Data for a relaxed InNiIr2 crystal.

Results
The formation energy from the elements is 0.10 eV per atom.

Cell and atoms, written as CIF:
```
data_InNiIr2
_chemical_formula_sum 'In1 Ni1 Ir2'
_cell_length_a 2.901
_cell_length_b 2.901
_cell_length_c 7.142
_cell_angle_alpha 90.00
_cell_angle_beta 90.00
_cell_angle_gamma 90.00
_space_group_name_H-M_alt 'P 4/m m m'
_space_group_IT_number 123
_space_group_name_Hall '-P 4 2'
loop_
_atom_site_label
_atom_site_fract_x
_atom_site_fract_y
_atom_site_fract_z
In1 0.000 0.000 0.000
Ni1 0.000 0.000 0.500
Ir1 0.500 0.500 0.285
```



# 8
## InNi2Ir (PBE)

Data for a relaxed InNi2Ir crystal.

Results
The formation energy from the elements is 0.03 eV per atom.

Cell and atoms, written as CIF:
```
data_InNi2Ir
_chemical_formula_sum 'In2 Ni4 Ir2'
_cell_length_a 3.975
_cell_length_b 3.975
_cell_length_c 7.133
_cell_angle_alpha 90.00
_cell_angle_beta 90.00
_cell_angle_gamma 90.00
_space_group_name_H-M_alt 'I 4/m m m'
_space_group_IT_number 139
_space_group_name_Hall '-I 4 2'
loop_
_atom_site_label
_atom_site_fract_x
_atom_site_fract_y
_atom_site_fract_z
In1 0.000 0.000 0.000
Ni1 0.000 0.500 0.250
Ir1 0.000 0.000 0.500
```



Question: Look up the formation energy from the elements of the second one.
Answer: 0.01 eV per atom



Question: Which formula does entry 8 have?
Answer: InNi2Ir